{"formula": "GdGePPd2", "functional": "PBE", "state": "optimized geometry", "magmom_total_mub_per_fu": 0.0, "dft_energy_ev_per_atom": -5.909, "lattice": [[-1.454, 4.286, 3.735], [-5.128, -0.271, 2.839], [4.591, -3.491, -1.079]], "species": ["Gd", "Ge", "P", "Pd", "Pd"], "fractional_positions": [[0.003, 0.003, 0.000], [0.387, 0.387, 0.000], [0.618, 0.618, 0.000], [0.746, 0.246, 0.500], [0.246, 0.746, 0.500]]}